(1)
Crystalline CS at its relaxed geometry. Source: Alexandria via LeMat-Bulk, functional PBE.

The space group is P6_3/m (No. 176) and the conventional cell measures 7.4716, 7.4716 and 4.9356 Å, with angles of 90.00, 90.00 and 120.00 degrees. The asymmetric unit holds C at (0.1071, 0.4507, 0.2500) and S at (0.1115, 0.6808, 0.2500).

The crystal system is hexagonal. For the energy relative to the lowest polymorph listed for this composition, the calculation gives 0.152 eV per atom. The value obtained for the magnetization is 0.0 μB per formula unit. Its uncorrected formation energy is 1376 meV per atom.



(2)
Crystalline FeSi2I at its relaxed geometry. Source: Alexandria via LeMat-Bulk, functional PBE.

The space group is Fm-3m (No. 225) and the conventional cell measures 6.488, 6.488 and 6.488 Å, with angles of 90.00, 90.00 and 90.00 degrees. The asymmetric unit holds Fe at (0.000, 0.000, 0.000), Si at (0.250, 0.250, 0.250) and I at (0.000, 0.000, 0.500).

The crystal system is cubic. For the energy relative to the lowest polymorph listed for this composition, the calculation gives 0.749 eV per atom. The value obtained for the magnetization is 0.0 μB per formula unit. Its uncorrected formation energy is 1307 meV per atom.



(3)
Crystalline As2Pd2O7 at its relaxed geometry. Source: Alexandria via LeMat-Bulk, functional PBE.

The space group is C2/m (No. 12) and the conventional cell measures 8.932, 8.722 and 4.873 Å, with angles of 90.00, 116.56 and 90.00 degrees. The asymmetric unit holds As at (0.172, 0.000, 0.414), Pd at (0.000, 0.316, 0.000), O at (0.000, 0.000, 0.500), O at (0.151, 0.500, 0.231) and O at (0.179, 0.161, 0.219).

The crystal system is monoclinic. The value obtained for the magnetization is 0.0 μB per formula unit. Its uncorrected formation energy is -752 meV per atom.



(4)
Crystalline Ti2Al5VPd2 at its relaxed geometry. Source: Alexandria via LeMat-Bulk, functional PBE.

The space group is P4/mbm (No. 127) and the conventional cell measures 8.906, 8.906 and 4.004 Å, with angles of 90.00, 90.00 and 90.00 degrees. The asymmetric unit holds Ti at (0.178, 0.322, 0.000), Al at (0.000, 0.500, 0.500), Al at (0.062, 0.799, 0.500), V at (0.000, 0.000, 0.000) and Pd at (0.121, 0.621, 0.000).

For the formation energy, the calculation gives -0.4238 eV per atom. The crystal system is tetragonal. The value obtained for the magnetization is 0.0 μB per formula unit.



(5)
Crystalline HgMoRh2 at its relaxed geometry. Source: Alexandria via LeMat-Bulk, functional PBE.

The space group is Pm (No. 6) and the conventional cell measures 2.830, 4.101 and 5.579 Å, with angles of 90.00, 90.03 and 90.00 degrees. The asymmetric unit holds Hg at (0.000, 0.000, 0.000), Mo at (0.501, 0.500, 0.696), Rh at (0.002, 0.000, 0.506) and Rh at (0.500, 0.500, 0.250).

For the formation energy, the calculation gives 0.1638 eV per atom. The crystal system is monoclinic. The value obtained for the magnetization is 0.0 μB per formula unit.



(6)
Crystalline Cr2IrSe at its relaxed geometry. Source: Alexandria via LeMat-Bulk, functional PBE.

The space group is Imm2 (No. 44) and the conventional cell measures 2.956, 4.336 and 9.027 Å, with angles of 90.00, 90.00 and 90.00 degrees. The asymmetric unit holds Cr at (0.000, 0.000, 0.000), Cr at (0.000, 0.500, 0.225), Ir at (0.000, 0.500, 0.765) and Se at (0.000, 0.000, 0.497).

The crystal system is orthorhombic. The value obtained for the magnetization is 0.1 μB per formula unit. Its uncorrected formation energy is 187 meV per atom.



(7)
Crystalline Cu2Te5I3 at its relaxed geometry. Source: Alexandria via LeMat-Bulk, functional PBE.

The space group is Ibam (No. 72) and the conventional cell measures 9.673, 15.665 and 7.738 Å, with angles of 90.00, 90.00 and 90.00 degrees. The asymmetric unit holds Cu at (0.092, 0.124, 0.000), Te at (0.000, 0.228, 0.250), Te at (0.000, 0.500, 0.250), Te at (0.122, 0.365, 0.500), I at (0.000, 0.000, 0.250) and I at (0.242, 0.141, 0.500).

The crystal system is orthorhombic. The value obtained for the magnetization is 0.0 μB per formula unit. Its uncorrected formation energy is 122 meV per atom.



(8)
Crystalline CsK2BaAg at its relaxed geometry. Source: Alexandria via LeMat-Bulk, functional PBE.

The space group is P4/mmm (No. 123) and the conventional cell measures 6.962, 6.962 and 6.663 Å, with angles of 90.00, 90.00 and 90.00 degrees. The asymmetric unit holds Cs at (0.000, 0.000, 0.000), K at (0.000, 0.500, 0.500), Ba at (0.500, 0.500, 0.000) and Ag at (0.500, 0.500, 0.500).

For the formation energy, the calculation gives 0.0541 eV per atom. The crystal system is tetragonal. The value obtained for the magnetization is 0.0 μB per formula unit.